VASP calculation (PBE-GGA) on an optimized crystal structure of Tb3TlRu2.

## Properties
VASP energy: -6.178 eV per atom
volume: 22.76 Å³ per atom
energy of formation: -0.38 eV/atom

```
Tb3TlRu2
1.0
3.4520 0.0000 0.0000
0.0000 3.4520 0.0000
0.0000 0.0000 11.4619
Tb Tl Ru
3 1 2
Cartesian
0.0000 0.0000 0.0000
0.0000 0.0000 3.3470
0.0000 0.0000 8.1150
1.7260 1.7260 5.7310
1.7260 1.7260 1.7550
1.7260 1.7260 9.7070
```